First-principles (PBE with a Hubbard U) data for a relaxed structure of Ni2PbO, as listed in the Alexandria database.

Energy above the most stable polymorph in this dataset   0 meV per atom
Density   8.5 g cm⁻³
Space group   I4_1/amd (141)
M_tot   1.7 μB per cell

Unit cell a=6.630 b=6.630 c=6.630 alpha=137.10 beta=137.10 gamma=62.29
Atoms (fractional coordinates):
1 Ni 0.000 0.000 0.000
2 Ni 0.000 0.000 0.500
3 Ni 0.000 0.500 0.000
4 Ni 0.500 0.000 0.500
5 Pb 0.375 0.625 0.750
6 Pb 0.625 0.375 0.250
7 O 0.125 0.875 0.250
8 O 0.875 0.125 0.750